(1)
{"formula": "Rb2CoCI6", "functional": "PBE", "state": "optimized geometry", "raw_formation_energy_mev_per_atom": -23, "vol_a3_per_atom": 33.5, "energy_ev_per_cell": -27.8, "lattice_angstrom": [[-3.890, 3.890, 5.529], [3.890, -3.890, 5.529], [3.890, 3.890, -5.529]], "species": ["Rb", "Rb", "Co", "C", "I", "I", "I", "I", "I", "I"], "frac_coords": [[0.250, 0.750, 0.500], [0.750, 0.250, 0.500], [0.000, 0.000, 0.000], [0.500, 0.500, 0.000], [0.251, 0.251, 0.503], [0.251, 0.749, 0.000], [0.252, 0.252, 0.000], [0.748, 0.748, 0.000], [0.749, 0.251, 0.000], [0.749, 0.749, 0.497]]}

(2)
{"formula": "RbCoC2I", "functional": "PBE", "state": "optimized geometry", "raw_formation_energy_mev_per_atom": 1730, "vol_a3_per_atom": 24.7, "energy_ev_per_cell": -19.4, "lattice_angstrom": [[4.104, 0.000, 0.000], [0.000, 4.104, 0.000], [0.000, 0.000, 7.322]], "species": ["Rb", "Co", "C", "C", "I"], "frac_coords": [[0.000, 0.000, 0.000], [0.000, 0.000, 0.500], [0.000, 0.500, 0.500], [0.500, 0.000, 0.500], [0.500, 0.500, 0.000]]}

(3)
{"formula": "Co2RhCI", "functional": "PBE", "state": "optimized geometry", "raw_formation_energy_mev_per_atom": 2576, "vol_a3_per_atom": 20.8, "energy_ev_per_cell": -19.5, "lattice_angstrom": [[4.611, 0.000, 0.000], [0.000, 4.611, 0.000], [0.000, 0.000, 4.892]], "species": ["Co", "Co", "Rh", "C", "I"], "frac_coords": [[0.000, 0.500, 0.000], [0.500, 0.000, 0.000], [0.000, 0.000, 0.500], [0.500, 0.500, 0.500], [0.000, 0.000, 0.000]]}

(4)
{"formula": "CoSb2CI", "functional": "PBE", "state": "optimized geometry", "raw_formation_energy_mev_per_atom": 1437, "vol_a3_per_atom": 21.6, "energy_ev_per_cell": -18.9, "relative_energy_kj_per_mol_fu": 0.0, "lattice_angstrom": [[4.679, 0.000, 0.000], [0.000, 4.679, 0.000], [0.000, 0.000, 4.928]], "species": ["Co", "Sb", "Sb", "C", "I"], "frac_coords": [[0.000, 0.000, 0.000], [0.000, 0.500, 0.500], [0.500, 0.000, 0.500], [0.500, 0.500, 0.500], [0.500, 0.500, 0.000]]}

(5)
{"formula": "CoSb2CI", "functional": "PBE", "state": "optimized geometry", "raw_formation_energy_mev_per_atom": 1607, "vol_a3_per_atom": 25.4, "energy_ev_per_cell": -18.1, "relative_energy_kj_per_mol_fu": 81.8, "lattice_angstrom": [[4.825, 0.000, 0.000], [0.000, 4.825, 0.000], [0.000, 0.000, 5.447]], "species": ["Co", "Sb", "Sb", "C", "I"], "frac_coords": [[0.000, 0.000, 0.000], [0.000, 0.500, 0.000], [0.500, 0.000, 0.000], [0.500, 0.500, 0.500], [0.000, 0.000, 0.500]]}

(6)
{"formula": "Co2CSeI", "functional": "PBE", "state": "optimized geometry", "raw_formation_energy_mev_per_atom": 1016, "vol_a3_per_atom": 24.3, "energy_ev_per_cell": -23.4, "lattice_angstrom": [[3.804, 0.000, 0.000], [0.000, 3.804, 0.000], [0.000, 0.000, 8.408]], "species": ["Co", "Co", "C", "Se", "I"], "frac_coords": [[0.000, 0.500, 0.000], [0.500, 0.000, 0.000], [0.000, 0.000, 0.000], [0.500, 0.500, 0.500], [0.000, 0.000, 0.500]]}

(7)
{"formula": "Sm6Co2CI3", "functional": "PBE", "state": "optimized geometry", "raw_formation_energy_mev_per_atom": -588, "vol_a3_per_atom": 27.2, "energy_ev_per_cell": -63.5, "lattice_angstrom": [[3.464, -5.993, 0.000], [3.464, 5.993, 0.000], [-2.299, 0.000, 7.866]], "species": ["Sm", "Sm", "Sm", "Sm", "Sm", "Sm", "Co", "Co", "C", "I", "I", "I"], "frac_coords": [[0.057, 0.375, 0.174], [0.260, 0.260, 0.825], [0.375, 0.057, 0.174], [0.625, 0.943, 0.826], [0.740, 0.740, 0.175], [0.943, 0.625, 0.826], [0.333, 0.667, 0.000], [0.667, 0.333, 0.000], [0.000, 0.000, 0.000], [0.167, 0.833, 0.500], [0.500, 0.500, 0.500], [0.833, 0.167, 0.500]]}

(8)
{"formula": "CoSnC2I", "functional": "PBE", "state": "optimized geometry", "raw_formation_energy_mev_per_atom": 1595, "vol_a3_per_atom": 18.1, "energy_ev_per_cell": -23.1, "lattice_angstrom": [[3.963, 0.000, 0.000], [0.000, 3.963, 0.000], [0.000, 0.000, 5.776]], "species": ["Co", "Sn", "C", "C", "I"], "frac_coords": [[0.000, 0.000, 0.000], [0.000, 0.000, 0.500], [0.000, 0.500, 0.000], [0.500, 0.000, 0.000], [0.500, 0.500, 0.500]]}